# 1
This record from Alexandria describes a relaxed structure of TlIn. The functional is PBE-GGA.

Lattice parameters (Å, degrees): 7.7545 7.7545 7.7545 90.00 90.00 90.00
Closest atoms and distances in Å follow each position.
Space group Fd-3m (No. 227, origin choice 2)
Asymmetric unit:
Tl 0.1250 0.1250 0.1250 (multiplicity 8)  4 In 3.36, 4 Tl 3.36
In 0.1250 0.1250 0.6250 (multiplicity 8)  4 Tl 3.36, 4 In 3.36

**ΔE_f**: 0.01 eV per atom
**Size of the total moment**: 0.0 μB/f.u.
**DFT total energy**: -2.54 eV per atom

---

# 2
This record from Alexandria describes a relaxed structure of TlIn. The functional is PBE-GGA.

Lattice parameters (Å, degrees): 5.2366 5.2366 6.3037 90.00 90.00 120.00
Closest atoms and distances in Å follow each position.
Space group P6_3/mmc (No. 194)
Asymmetric unit:
Tl 0.3333 0.6667 0.2500 (multiplicity 2)  5 In 3.02-3.15
In 0.3333 0.6667 0.7500 (multiplicity 2)  5 Tl 3.02-3.15

**ΔE_f**: 0.23 eV per atom
**Size of the total moment**: 0.0 μB/f.u.
**DFT total energy**: -2.33 eV per atom

---

# 3
This record from Alexandria describes a relaxed structure of TlIn2. The functional is PBE-GGA.

Lattice parameters (Å, degrees): 3.4221 3.4221 14.5535 90.00 90.00 90.00
Closest atoms and distances in Å follow each position.
Space group I4/mmm (No. 139)
Asymmetric unit:
Tl 0.0000 0.0000 0.0000 (multiplicity 2)  4 Tl 3.42, 8 In 3.48
In 0.0000 0.0000 0.3278 (multiplicity 4)  8 In 3.31-3.42, 4 Tl 3.48

**ΔE_f**: 0.03 eV per atom
**Size of the total moment**: 0.0 μB/f.u.
**DFT total energy**: -2.59 eV per atom

---

# 4
This record from Alexandria describes a relaxed structure of Tl3In8. The functional is PBE-GGA.

Lattice parameters (Å, degrees): 9.2872 5.5298 12.4255 90.00 101.35 90.00
Closest atoms and distances in Å follow each position.
Space group C2/m (No. 12)
Asymmetric unit:
Tl 0.0000 0.0000 0.0000 (multiplicity 2)  8 In 3.30-3.33
Tl 0.0459 0.5000 0.6387 (multiplicity 4)  9 In 3.33-3.70, 1 Tl 3.38
In 0.0901 0.0000 0.2707 (multiplicity 4)  4 In 3.30-3.33, 4 Tl 3.30-3.35
In 0.1377 0.5000 0.9119 (multiplicity 4)  4 Tl 3.32-3.33, 6 In 3.32-3.71
In 0.1800 0.0000 0.5413 (multiplicity 4)  5 In 3.30-3.35, 3 Tl 3.35-3.38
In 0.2274 0.5000 0.1845 (multiplicity 4)  8 In 3.31-3.37, 1 Tl 3.67

**ΔE_f**: 0.02 eV per atom
**Size of the total moment**: 0.0 μB/f.u.
**DFT total energy**: -2.61 eV per atom

---

# 5
This record from Alexandria describes a relaxed structure of Tl5In3. The functional is PBE-GGA.

Lattice parameters (Å, degrees): 3.7143 5.7048 11.1761 90.00 90.00 90.00
Closest atoms and distances in Å follow each position.
Space group Pmm2 (No. 25)
Asymmetric unit:
Tl 0.0000 0.0000 0.0000 (multiplicity 1)  6 In 3.28-3.43, 2 Tl 3.44
Tl 0.0000 0.0000 0.4841 (multiplicity 1)  2 In 3.28, 6 Tl 3.42-3.43
Tl 0.0000 0.5000 0.7845 (multiplicity 1)  2 In 3.36, 10 Tl 3.44-3.73
Tl 0.5000 0.0000 0.7412 (multiplicity 1)  12 Tl 3.42-3.78
Tl 0.5000 0.5000 0.5197 (multiplicity 1)  2 In 3.36, 8 Tl 3.43-3.71
In 0.0000 0.5000 0.2692 (multiplicity 1)  6 In 3.21-3.42, 2 Tl 3.36
In 0.5000 0.0000 0.2423 (multiplicity 1)  4 Tl 3.28, 6 In 3.42-3.67
In 0.5000 0.5000 0.0353 (multiplicity 1)  2 In 3.21, 6 Tl 3.36-3.43

**ΔE_f**: 0.01 eV per atom
**Size of the total moment**: 0.0 μB/f.u.
**DFT total energy**: -2.49 eV per atom

---

# 6
This record from Alexandria describes a relaxed structure of TlIn. The functional is PBE-GGA.

Lattice parameters (Å, degrees): 5.8997 3.5153 11.2940 90.00 99.00 90.00
Closest atoms and distances in Å follow each position.
Space group C2/m (No. 12)
Asymmetric unit:
Tl 0.1180 0.0000 0.3662 (multiplicity 4)  3 In 3.36-3.45, 9 Tl 3.43-3.63
In 0.1339 0.5000 0.8825 (multiplicity 4)  9 In 3.29-3.52, 3 Tl 3.36-3.45

**ΔE_f**: 0.02 eV per atom
**Size of the total moment**: 0.0 μB/f.u.
**DFT total energy**: -2.53 eV per atom